[1]
## TcTe2Os (meta-GGA SCAN)

Data for a crystal of TcTe2Os relaxed with PBEsol.

The structure in POSCAR format:
```
TcTe2Os
1.0
3.1680 0.0000 0.0000
1.5840 5.1301 0.0144
1.5840 2.3122 4.5795
Os Tc Te
1 1 2
direct
0.5000 0.0000 0.0000
0.0000 0.5000 0.5000
0.2469 0.7531 0.7531
0.7531 0.2469 0.2469
```

## Properties
The formation energy (no corrections) is 1.1467 eV/atom. For the total energy, the calculation gives -1.6248 hartree per atom. Its density is 12142 kg/m³.


[2]
## TcTe2Os (meta-GGA SCAN)

Data for a crystal of TcTe2Os relaxed with PBEsol.

The structure in POSCAR format:
```
TcTe2Os
1.0
3.9071 0.0000 0.0000
0.0000 3.9071 0.0000
-1.9535 -1.9535 4.6884
Os Tc Te
1 1 2
direct
0.5000 0.5000 0.0000
0.2500 0.7500 0.5000
0.0000 0.0000 0.0000
0.7500 0.2500 0.5000
```

## Properties
The formation energy (no corrections) is 0.9424 eV/atom. For the total energy, the calculation gives -1.6323 hartree per atom. Its density is 12608 kg/m³.


[3]
## ZrTiTc2Os (meta-GGA SCAN)

Data for a crystal of ZrTiTc2Os relaxed with PBEsol.

The structure in POSCAR format:
```
ZrTiTc2Os
1.0
4.5017 0.0000 0.0000
0.0000 4.6815 0.0000
0.0000 0.0000 4.6815
Os Tc Zr Ti
1 2 1 1
direct
0.0000 0.0000 0.0000
0.0000 0.0000 0.5000
0.0000 0.5000 0.0000
0.5000 0.5000 0.5000
0.5000 0.0000 0.0000
```

## Properties
For the total energy, the calculation gives -1.3585 hartree per atom. Its density is 8841 kg/m³.